Record 1
Material: KSnCl2F
Method: DFT, PBE
State: optimized geometry

Lattice parameters (Å, degrees): 5.683 5.683 4.589 90.00 90.00 90.00
Sites, in units of the cell vectors:
K 0.000 0.000 0.000
Sn 0.500 0.500 0.500
Cl 0.000 0.500 0.500
Cl 0.500 0.000 0.500
F 0.500 0.500 0.000

M_tot = 0.000 μB per atom
formation energy without anion corrections = -1.72 eV per atom
space group = P4/mmm, No. 123
calculated total energy = -3.853 eV/atom

Record 2
Material: LiCd2Se
Method: DFT, PBE
State: optimized geometry

Lattice parameters (Å, degrees): 6.711 6.711 6.711 147.87 145.35 47.98
Sites, in units of the cell vectors:
Li 0.000 0.000 0.000
Cd 0.274 0.774 0.500
Cd 0.593 0.593 0.000
Se 0.860 0.360 0.500

M_tot = 0.000 μB per atom
formation energy without anion corrections = -0.30 eV per atom
space group = Imm2, No. 44
calculated total energy = -2.109 eV/atom

Record 3
Material: SrTaMn2
Method: DFT, PBE
State: optimized geometry

Lattice parameters (Å, degrees): 4.828 4.828 4.828 60.00 60.00 60.00
Sites, in units of the cell vectors:
Sr 0.000 0.000 0.000
Ta 0.750 0.750 0.750
Mn 0.250 0.250 0.250
Mn 0.500 0.500 0.500

M_tot = 1.493 μB per atom
space group = F-43m, No. 216
DFT formation energy = 992.9 meV per atom
calculated total energy = -6.976 eV/atom

Record 4
Material: HgHIr2I
Method: DFT, PBE
State: optimized geometry

Lattice parameters (Å, degrees): 5.060 5.060 3.464 90.00 90.00 90.00
Sites, in units of the cell vectors:
Hg 0.000 0.000 0.000
H 0.500 0.500 0.000
Ir 0.000 0.500 0.500
Ir 0.500 0.000 0.500
I 0.500 0.500 0.500

M_tot = 0.000 μB per atom
space group = P4/mmm, No. 123
calculated total energy = -3.382 eV/atom